20
Lattice="2.945 1.700 9.585 -2.945 1.700 9.585 0.000 -3.400 9.585" Properties=species:S:1:pos:R:3 comment="PBE with a Hubbard U Ba2GaWO6, optimized geometry" m_tot_mub_per_fu=1.0 e_tot_ev_per_atom=-6.74 dos_ef_per_ev_fu=0.00 pbc="T T T"
Ba 0.000 0.000 3.674
Ba 0.000 0.000 8.126
Ba 0.000 0.000 20.628
Ba 0.000 0.000 25.081
Ga 0.000 0.000 11.642
Ga 0.000 0.000 17.113
W 0.000 0.000 0.000
W 0.000 0.000 14.377
O -1.359 -0.785 13.128
O 0.000 -1.723 10.712
O -1.492 0.861 10.712
O -1.492 -0.861 18.043
O 0.000 -1.569 15.627
O -1.359 0.785 15.627
O 1.359 -0.785 13.128
O 0.000 1.569 13.128
O 1.492 0.861 10.712
O 1.492 -0.861 18.043
O 0.000 1.723 18.043
O 1.359 0.785 15.627